PrScCd6: relaxed, PBE.

Calculated values
The value obtained for the relative energy among the computed polymorphs is 0.000 eV per atom. The energy of formation from the pure elements comes out at -0.24 eV per atom. For the total energy, the calculation gives -2.3197 eV/atom.

Structure (POSCAR):
```
PrScCd6
1.0
5.079 0.000 0.000
0.000 7.170 0.000
0.000 0.000 5.079
Pr Sc Cd
1 1 6
Direct
0.000 0.000 0.000
0.500 0.500 0.498
0.000 0.268 0.500
0.000 0.500 0.001
0.000 0.732 0.500
0.500 0.000 0.499
0.500 0.268 0.998
0.500 0.732 0.998
```